The following is a PBEsol calculation of a relaxed AgSb2 crystal, from Alexandria.

a b c (Å): 4.118 4.118 5.011
angles (deg): 90.00 90.00 120.00
Sites, in units of the cell vectors:
Ag 0.000 0.000 0.000
Sb 0.333 0.667 0.314
Sb 0.667 0.333 0.686

Properties
Formation energy without anion corrections in eV per atom: 0.09
Symmetry: No. 164